ZnB2Te after structural relaxation. Source: Alexandria, functional PBE.

The structure in POSCAR format:
```
ZnB2Te
1.0
-4.229 -0.178 3.034
-1.277 -4.614 -2.051
-0.158 -4.663 3.976
B Te Zn
4 2 2
direct
0.875 0.857 0.750
0.375 0.393 0.750
0.143 0.625 0.250
0.607 0.125 0.250
0.750 0.250 0.500
0.000 0.000 0.000
0.250 0.750 0.500
0.500 0.500 0.000
```

Summary:
The value obtained for the raw formation energy is 88.0 kJ/mol of atoms. Its symmetry is No. 122. The calculation puts the energy above the lowest structure with this stoichiometry at 0 meV per atom.



NaY2PuS4 after structural relaxation. Source: Alexandria, functional PBE.

The structure in POSCAR format:
```
NaY2PuS4
1.0
3.949 0.000 0.000
0.000 6.895 -0.143
0.000 2.416 6.419
S Na Pu Y
4 1 1 2
direct
0.000 0.755 0.750
0.500 0.760 0.246
0.000 0.245 0.250
0.500 0.240 0.754
0.000 0.500 0.500
0.500 0.500 0.000
0.000 0.000 0.000
0.500 0.000 0.500
```

Summary:
The value obtained for the raw formation energy is -178.5 kJ/mol of atoms. Its symmetry is No. 10.



Y2FeNi after structural relaxation. Source: Alexandria, functional PBE.

The structure in POSCAR format:
```
Y2FeNi
1.0
3.932 0.000 0.000
0.000 4.056 -0.008
0.000 2.037 5.233
Y Fe Ni
2 1 1
direct
0.000 0.980 0.914
0.500 0.270 0.334
0.000 0.685 0.504
0.500 0.564 0.748
```

Summary:
The value obtained for the formation energy is -0.1684 eV per atom. Its symmetry is No. 38.



Ac2HgAu8 after structural relaxation. Source: Alexandria, functional PBE.

The structure in POSCAR format:
```
Ac2HgAu8
1.0
4.700 0.083 -1.186
-0.850 6.250 -2.923
0.081 0.216 8.761
Ac Au Hg
2 8 1
direct
0.592 0.630 0.261
0.408 0.370 0.739
0.997 0.287 0.000
0.131 0.968 0.356
0.131 0.386 0.355
0.359 0.809 0.618
0.869 0.032 0.644
0.641 0.191 0.382
0.003 0.713 0.000
0.869 0.614 0.645
0.500 0.000 0.000
```

Summary:
The value obtained for the formation energy is -0.4734 eV per atom. Its symmetry is No. 2.



Sm4ThP5 after structural relaxation. Source: Alexandria, functional PBE.

The structure in POSCAR format:
```
Sm4ThP5
1.0
0.186 -3.033 -2.783
1.697 -3.706 4.152
-10.769 1.012 1.228
Sm P Th
4 5 1
direct
0.398 0.398 0.796
0.602 0.602 0.204
0.202 0.202 0.403
0.798 0.798 0.597
0.000 0.500 0.000
0.200 0.700 0.400
0.599 0.099 0.199
0.401 0.901 0.801
0.800 0.300 0.600
0.000 0.000 0.000
```

Summary:
The value obtained for the formation energy is -1.5867 eV per atom. Its symmetry is No. 71.



Ir2RuW after structural relaxation. Source: Alexandria, functional PBE.

The structure in POSCAR format:
```
Ir2RuW
1.0
9.118 -0.011 -0.007
8.704 2.718 -0.007
8.704 1.322 2.375
Ir W Ru
2 1 1
direct
0.001 0.001 0.001
0.249 0.249 0.249
0.750 0.750 0.750
0.501 0.501 0.501
```

Summary:
The value obtained for the formation energy is 0.0194 eV per atom. Its symmetry is No. 160. The calculation puts the energy above the lowest structure with this stoichiometry at 286 meV per atom.



Nd3Cu8Au after structural relaxation. Source: Alexandria, functional PBE.

The structure in POSCAR format:
```
Nd3Cu8Au
1.0
-4.112 0.618 3.177
-4.664 -1.952 -1.348
-0.963 -7.886 4.596
Nd Cu Au
3 8 1
direct
0.379 0.379 0.862
0.991 0.991 0.027
0.507 0.507 0.478
0.945 0.432 0.191
0.189 0.189 0.434
0.440 0.939 0.683
0.939 0.440 0.683
0.432 0.945 0.191
0.686 0.686 0.941
0.939 0.939 0.683
0.432 0.432 0.191
0.871 0.871 0.387
```

Summary:
The value obtained for the formation energy is -0.1707 eV per atom. Its symmetry is No. 160.



Th4CdHg5 after structural relaxation. Source: Alexandria, functional PBE.

The structure in POSCAR format:
```
Th4CdHg5
1.0
3.483 0.000 0.000
0.000 3.483 0.000
0.000 0.000 21.801
Th Hg Cd
4 5 1
direct
0.000 0.000 0.188
0.000 0.000 0.396
0.000 0.000 0.604
0.000 0.000 0.812
0.500 0.500 0.500
0.500 0.500 0.291
0.500 0.500 0.086
0.500 0.500 0.709
0.500 0.500 0.914
0.000 0.000 0.000
```

Summary:
The value obtained for the formation energy is -0.1930 eV per atom. Its symmetry is No. 123.



| no. | Fermi-level density of states (states/eV per atom) | total energy (eV per cell) |
| --- | --- | --- |
| 1 | 0.341 | -28.25 |
| 2 | 1.498 | -59.89 |
| 3 | 1.143 | -27.85 |
| 4 | 0.398 | -39.94 |
| 5 | 0.299 | -69.21 |
| 6 | 1.115 | -39.87 |
| 7 | 0.921 | -52.40 |
| 8 | 1.100 | -34.03 |